Below is K2CoF6 after structural relaxation, with properties calculated at the GGA+U level.

Magnetization in μB per formula unit: 1.0
Total DFT energy (no corrections) in eV/atom: -4.296
Space group: P4_2/mnm, No. 136

a b c (Å): 5.4176 5.4176 10.9501
angles (deg): 90.00 90.00 90.00
Last column: nearest neighbours and their distance in Å.
Atoms (fractional coordinates):
K1 0.0000 0.0000 0.1637  6 F 2.61-2.71
K2 0.0000 0.0000 0.8363  6 F 2.61-2.71
K3 0.5000 0.5000 0.3363  6 F 2.61-2.71
K4 0.5000 0.5000 0.6637  6 F 2.61-2.71
Co1 0.0000 0.0000 0.5000  6 F 1.80-1.82
Co2 0.5000 0.5000 0.0000  6 F 1.80-1.82
F1 0.1645 0.1645 0.3797  1 Co 1.82
F2 0.1645 0.1645 0.6203  1 Co 1.82
F3 0.2348 0.7652 0.5000  1 Co 1.80
F4 0.2652 0.2652 0.0000  1 Co 1.80
F5 0.3355 0.6645 0.1203  1 Co 1.82
F6 0.3355 0.6645 0.8797  1 Co 1.82
F7 0.6645 0.3355 0.1203  1 Co 1.82
F8 0.6645 0.3355 0.8797  1 Co 1.82
F9 0.7348 0.7348 0.0000  1 Co 1.80
F10 0.7652 0.2348 0.5000  1 Co 1.80
F11 0.8355 0.8355 0.3797  1 Co 1.82
F12 0.8355 0.8355 0.6203  1 Co 1.82